[1]
{"formula": "PuZrRh4", "functional": "PBE-GGA", "state": "optimized geometry", "cell": [[7.488, 0.000, 0.000], [0.000, 2.963, 0.000], [0.000, 0.000, 18.803]], "species": ["Pu", "Pu", "Pu", "Pu", "Zr", "Zr", "Zr", "Zr", "Rh", "Rh", "Rh", "Rh", "Rh", "Rh", "Rh", "Rh", "Rh", "Rh", "Rh", "Rh", "Rh", "Rh", "Rh", "Rh"], "frac_coords": [[0.206, 0.250, 0.208], [0.294, 0.750, 0.708], [0.706, 0.250, 0.292], [0.794, 0.750, 0.792], [0.203, 0.750, 0.460], [0.297, 0.250, 0.960], [0.703, 0.750, 0.040], [0.797, 0.250, 0.540], [0.013, 0.250, 0.063], [0.072, 0.250, 0.344], [0.112, 0.250, 0.823], [0.171, 0.250, 0.583], [0.329, 0.750, 0.083], [0.388, 0.750, 0.323], [0.428, 0.750, 0.844], [0.487, 0.750, 0.563], [0.513, 0.250, 0.437], [0.572, 0.250, 0.156], [0.612, 0.250, 0.677], [0.671, 0.250, 0.917], [0.829, 0.750, 0.417], [0.888, 0.750, 0.177], [0.928, 0.750, 0.656], [0.987, 0.750, 0.937]], "relative_energy_mev_per_atom": 184, "delta_e_f_ev_per_atom": -0.3380, "space_group": "Pnma, No. 62"}

[2]
{"formula": "Pu5Ru4", "functional": "PBE-GGA", "state": "optimized geometry", "cell": [[4.861, -4.847, 0.000], [4.861, 4.847, 0.000], [-0.700, 0.000, 3.474]], "species": ["Pu", "Pu", "Pu", "Pu", "Pu", "Ru", "Ru", "Ru", "Ru"], "frac_coords": [[0.000, 0.000, 0.000], [0.334, 0.334, 0.237], [0.337, 0.663, 0.000], [0.663, 0.337, 0.000], [0.666, 0.666, 0.763], [0.003, 0.668, 0.354], [0.332, 0.997, 0.646], [0.668, 0.003, 0.354], [0.997, 0.332, 0.646]], "relative_energy_mev_per_atom": 55, "delta_e_f_ev_per_atom": 0.0238, "space_group": "C2/m, No. 12"}

[3]
{"formula": "Pu5Ru", "functional": "PBE-GGA", "state": "optimized geometry", "cell": [[2.573, -7.324, 0.000], [2.573, 7.324, 0.000], [0.000, 0.000, 3.230]], "species": ["Pu", "Pu", "Pu", "Pu", "Pu", "Ru"], "frac_coords": [[0.000, 0.000, 0.000], [0.167, 0.833, 0.500], [0.343, 0.657, 0.000], [0.657, 0.343, 0.000], [0.833, 0.167, 0.500], [0.500, 0.500, 0.500]], "delta_e_f_ev_per_atom": 0.0703, "space_group": "Cmmm, No. 65"}

[4]
{"formula": "Pu4Ru3", "functional": "PBE-GGA", "state": "optimized geometry", "cell": [[6.242, 3.604, 1.999], [-6.242, 3.604, 1.999], [0.000, -7.208, 1.999]], "species": ["Pu", "Pu", "Pu", "Pu", "Pu", "Pu", "Pu", "Pu", "Ru", "Ru", "Ru", "Ru", "Ru", "Ru"], "frac_coords": [[0.000, 0.000, 0.000], [0.072, 0.785, 0.639], [0.215, 0.361, 0.928], [0.361, 0.928, 0.215], [0.500, 0.500, 0.500], [0.639, 0.072, 0.785], [0.785, 0.639, 0.072], [0.928, 0.215, 0.361], [0.142, 0.576, 0.292], [0.292, 0.142, 0.576], [0.424, 0.708, 0.858], [0.576, 0.292, 0.142], [0.708, 0.858, 0.424], [0.858, 0.424, 0.708]], "relative_energy_mev_per_atom": 0, "delta_e_f_ev_per_atom": -0.0967, "space_group": "R-3, No. 148"}